Computed, not measured: a relaxed structure of Ba2GeMoO6 at the GGA+U level of DFT.

Output
Total DFT energy (no corrections), eV per atom: -6.57
Spin magnetization, Bohr magnetons per cell: 0.0

a b c (Å): 5.9966 5.9966 5.9966
angles (deg): 60.00 60.00 60.00
Closest atoms and distances in Å follow each position.
Atoms (fractional coordinates):
Ba 0.2500 0.2500 0.2500  12 O 3.00
Ba 0.7500 0.7500 0.7500  12 O 3.00
Ge 0.0000 0.0000 0.0000  6 O 2.28
Mo 0.5000 0.5000 0.5000  6 O 1.96
O 0.2694 0.2694 0.7306  1 Mo 1.96
O 0.2694 0.7306 0.2694  1 Mo 1.96
O 0.2694 0.7306 0.7306  1 Mo 1.96
O 0.7306 0.2694 0.2694  1 Mo 1.96
O 0.7306 0.2694 0.7306  1 Mo 1.96
O 0.7306 0.7306 0.2694  1 Mo 1.96